TbPrCdRh | PBE | relaxed

```
4
Lattice="0.000 3.658 3.658 3.658 0.000 3.658 3.658 3.658 0.000" Properties=species:S:1:pos:R:3 pbc="T T T"
Tb 0.000 0.000 0.000
Pr 3.658 3.658 3.658
Cd 1.829 1.829 1.829
Rh 5.487 5.487 5.487
```

Values from the calculation:
space-group type	No. 216
ΔH_f (0 K)	-1.80	eV per formula unit



LaGdGa4 | PBE | relaxed

```
6
Lattice="0.000 3.986 3.986 3.986 0.000 3.986 3.986 3.986 0.000" Properties=species:S:1:pos:R:3 pbc="T T T"
La 0.000 0.000 0.000
Gd 5.979 5.979 5.979
Ga 2.990 2.990 2.990
Ga 4.982 4.982 2.990
Ga 4.982 2.990 4.982
Ga 2.990 4.982 4.982
```

Values from the calculation:
space-group type	No. 216
ΔH_f (0 K)	-3.42	eV per formula unit



Sm2Si | PBE | relaxed

```
3
Lattice="-1.964 1.964 4.838 1.964 -1.964 4.838 1.964 1.964 -4.838" Properties=species:S:1:pos:R:3 pbc="T T T"
Sm 0.000 0.000 1.444
Sm 0.000 0.000 8.232
Si 0.000 0.000 4.838
```

Values from the calculation:
energy	-5.28	eV/atom
space-group type	No. 139



Na3Cd2Au2 | PBE | relaxed

```
7
Lattice="4.277 -2.407 0.000 4.277 2.407 0.000 -2.771 0.000 8.042" Properties=species:S:1:pos:R:3 pbc="T T T"
Na 0.000 0.000 0.000
Na 0.015 0.000 3.218
Na 5.768 0.000 4.824
Cd 0.081 0.000 6.640
Cd 5.702 0.000 1.402
Au 2.878 0.000 1.688
Au 2.905 0.000 6.354
```

Values from the calculation:
space-group type	No. 12
ΔH_f (0 K)	-1.70	eV per formula unit



Li3Zn | PBE | relaxed

```
4
Lattice="5.089 0.000 0.000 0.000 5.089 0.000 0.000 0.000 5.089" Properties=species:S:1:pos:R:3 pbc="T T T"
Li 0.000 0.000 2.544
Li 0.000 2.544 0.000
Li 2.544 0.000 0.000
Zn 0.000 0.000 0.000
```

Values from the calculation:
space-group type	No. 221
ΔH_f (0 K)	1.53	eV per formula unit



YIrPt2 | PBE | relaxed

```
4
Lattice="3.506 0.000 0.000 0.000 3.506 0.000 0.000 0.000 5.959" Properties=species:S:1:pos:R:3 pbc="T T T"
Y 0.000 0.000 0.000
Ir 1.753 1.753 1.792
Pt 0.000 0.000 2.826
Pt 1.753 1.753 4.432
```

Values from the calculation:
space-group type	No. 99
ΔH_f (0 K)	-1.83	eV per formula unit



BaLa2OsW | PBE | relaxed

```
5
Lattice="5.710 0.000 0.000 0.000 5.710 0.000 0.000 0.000 4.880" Properties=species:S:1:pos:R:3 pbc="T T T"
Ba 0.000 0.000 0.000
La 0.000 2.855 0.000
La 2.855 0.000 0.000
Os 0.000 0.000 2.440
W 2.855 2.855 2.440
```

Values from the calculation:
space-group type	No. 123
ΔH_f (0 K)	12.16	eV per formula unit



LiLa2Cd2 | PBE | relaxed

```
5
Lattice="-2.340 2.340 7.487 2.340 -2.340 7.487 2.340 2.340 -7.487" Properties=species:S:1:pos:R:3 pbc="T T T"
Li 0.000 0.000 0.000
La 2.340 0.000 3.743
La 0.000 2.340 3.743
Cd 0.000 0.000 6.115
Cd 0.000 0.000 8.858
```

Values from the calculation:
space-group type	No. 139
ΔH_f (0 K)	0.39	eV per formula unit
ΔE to the lowest computed polymorph	6.48	kcal/mol of atoms



Sb3SI7 | PBE | relaxed

```
11
Lattice="7.392 -4.265 0.000 7.392 4.265 0.000 -7.306 0.000 7.679" Properties=species:S:1:pos:R:3 pbc="T T T"
Sb 0.000 0.000 0.000
Sb 3.493 2.017 0.014
Sb 3.493 -2.017 0.014
S -4.978 0.000 6.383
I -1.256 2.116 5.933
I 4.794 0.000 1.879
I 8.501 2.131 1.882
I -1.256 -2.116 5.933
I 2.395 0.000 5.946
I 8.501 -2.131 1.882
I 12.184 0.000 1.921
```

Values from the calculation:
energy	-2.80	eV/atom
space-group type	No. 8



BeSeSN2 | PBE | relaxed

```
5
Lattice="3.340 0.000 0.000 0.000 3.340 0.000 0.000 0.000 7.772" Properties=species:S:1:pos:R:3 pbc="T T T"
Be 0.000 0.000 0.000
Se 1.670 1.670 0.000
S 1.670 1.670 3.886
N 0.000 1.670 3.886
N 1.670 0.000 3.886
```

Values from the calculation:
space-group type	No. 123
ΔE to the lowest computed polymorph	1.78	kcal/mol of atoms



BaLaAgHg | PBE | relaxed

```
4
Lattice="0.000 4.001 4.001 4.001 0.000 4.001 4.001 4.001 0.000" Properties=species:S:1:pos:R:3 pbc="T T T"
Ba 0.000 0.000 0.000
La 4.001 4.001 4.001
Ag 2.001 2.001 2.001
Hg 6.002 6.002 6.002
```

Values from the calculation:
space-group type	No. 216
ΔH_f (0 K)	-1.19	eV per formula unit



Sr4Sn6Cl19 | PBE | relaxed

```
29
Lattice="-6.114 6.114 6.114 6.114 -6.114 6.114 6.114 6.114 -6.114" Properties=species:S:1:pos:R:3 pbc="T T T"
Sr 1.710 1.710 -1.710
Sr 1.710 -1.710 1.710
Sr -1.710 1.710 1.710
Sr 4.404 4.404 4.404
Sn 6.114 1.703 0.000
Sn 6.114 0.000 4.410
Sn 4.410 6.114 0.000
Sn 1.703 0.000 6.114
Sn 0.000 6.114 1.703
Sn 0.000 4.410 6.114
Cl 0.000 0.000 0.000
Cl 3.436 0.000 0.000
Cl 8.791 0.000 0.000
Cl 6.944 -2.015 2.691
Cl 4.099 3.423 -0.831
Cl 3.423 -0.831 4.099
Cl 0.000 3.436 0.000
Cl 0.000 0.000 3.436
Cl 8.129 3.423 0.831
Cl 5.283 2.015 2.691
Cl 2.691 6.944 -2.015
Cl 2.691 5.283 2.015
Cl -0.831 4.099 3.423
Cl 2.015 2.691 5.283
Cl 0.000 8.791 0.000
Cl 0.000 0.000 8.791
Cl 3.423 0.831 8.129
Cl -2.015 2.691 6.944
Cl 0.831 8.129 3.423
```

Values from the calculation:
energy	-3.78	eV/atom
space-group type	No. 197



Copy entry 1 word for word.
TbPrCdRh | PBE | relaxed

```
4
Lattice="0.000 3.658 3.658 3.658 0.000 3.658 3.658 3.658 0.000" Properties=species:S:1:pos:R:3 pbc="T T T"
Tb 0.000 0.000 0.000
Pr 3.658 3.658 3.658
Cd 1.829 1.829 1.829
Rh 5.487 5.487 5.487
```

Values from the calculation:
space-group type	No. 216
ΔH_f (0 K)	-1.80	eV per formula unit